# 1
## SrLi4Pb (GGA-PBE)

Data for a relaxed structure of SrLi4Pb.

a = 5.813 Å, b = 5.813 Å, c = 5.813 Å
α = 60.00°, β = 60.00°, γ = 60.00°
Sites, in units of the cell vectors:
Li: 0.126 0.625 0.625
Li: 0.625 0.625 0.625
Li: 0.625 0.126 0.625
Li: 0.625 0.625 0.126
Pb: 0.250 0.250 0.250
Sr: 0.000 0.000 0.000

Results
- crystal system = cubic
- energy above the lowest structure with this stoichiometry (meV per atom) = 0
- formation energy from the elements (eV per atom) = -0.20

***

# 2
## KAuSe2 (GGA-PBE)

Data for a relaxed structure of KAuSe2.

a = 3.038 Å, b = 4.351 Å, c = 8.513 Å
α = 90.00°, β = 90.00°, γ = 90.00°
Each line ends with the local moment (μB).
Sites, in units of the cell vectors:
Au: 0.000 0.000 0.432  0.01
K: 0.500 0.500 0.965  0.00
Se: 0.000 0.000 0.754  0.09
Se: 0.500 0.500 0.348  0.00

Results
- crystal system = orthorhombic
- energy relative to the elements, uncorrected (eV per atom) = -0.179

***

# 3
## LaTb2Tm7 (GGA-PBE)

Data for a relaxed structure of LaTb2Tm7.

a = 7.881 Å, b = 9.341 Å, c = 7.882 Å
α = 104.69°, β = 72.71°, γ = 47.34°
Sites, in units of the cell vectors:
La: 0.000 0.000 0.000
Tb: 0.603 0.600 0.398
Tb: 0.397 0.400 0.602
Tm: 0.900 0.899 0.598
Tm: 0.100 0.101 0.402
Tm: 0.702 0.700 0.800
Tm: 0.298 0.300 0.200
Tm: 0.799 0.799 0.201
Tm: 0.201 0.201 0.799
Tm: 0.500 0.500 0.000

Results
- crystal system = triclinic
- energy above the lowest structure with this stoichiometry (meV per atom) = 0
- formation energy from the elements (eV per atom) = 0.03

***

# 4
## NdU2SiC4 (GGA-PBE)

Data for a relaxed structure of NdU2SiC4.

a = 3.561 Å, b = 6.038 Å, c = 11.566 Å
α = 90.00°, β = 90.00°, γ = 107.15°
Each line ends with the local moment (μB).
Sites, in units of the cell vectors:
Nd: 0.103 0.206 0.750  0.00
Nd: 0.897 0.794 0.250  0.00
U: 0.372 0.744 0.550  1.11
U: 0.628 0.256 0.050  1.11
U: 0.628 0.256 0.450  1.11
U: 0.372 0.744 0.950  1.11
Si: 0.836 0.673 0.750  0.00
Si: 0.164 0.327 0.250  0.00
C: 0.260 0.519 0.119  -0.03
C: 0.740 0.481 0.619  -0.03
C: 0.740 0.481 0.881  -0.03
C: 0.260 0.519 0.381  -0.03
C: 0.000 0.000 0.500  -0.07
C: 0.000 0.000 0.000  -0.07
C: 0.422 0.844 0.750  -0.03
C: 0.578 0.156 0.250  -0.03

Results
- crystal system = orthorhombic
- energy relative to the elements, uncorrected (eV per atom) = -0.136

***

# 5
## Sm2Fe2Ge2N (GGA-PBE)

Data for a relaxed structure of Sm2Fe2Ge2N.

a = 3.940 Å, b = 5.754 Å, c = 5.966 Å
α = 72.67°, β = 70.72°, γ = 69.98°
Sites, in units of the cell vectors:
Sm: 0.557 0.175 0.711
Sm: 0.443 0.825 0.289
Fe: 0.189 0.699 0.922
Fe: 0.811 0.301 0.078
Ge: 0.167 0.378 0.288
Ge: 0.833 0.622 0.712
N: 0.000 0.000 0.000

Results
- crystal system = monoclinic
- energy relative to the elements, uncorrected (eV per atom) = -0.755

***

# 6
## Tm6TlFe (GGA-PBE)

Data for a relaxed structure of Tm6TlFe.

a = 6.331 Å, b = 6.331 Å, c = 6.112 Å
α = 99.22°, β = 99.22°, γ = 103.47°
Each line ends with the local moment (μB).
Sites, in units of the cell vectors:
Tm: 0.223 0.223 0.632  0.10
Tm: 0.564 0.202 0.215  0.09
Tm: 0.777 0.777 0.368  0.10
Tm: 0.798 0.436 0.785  0.09
Tm: 0.436 0.798 0.785  0.09
Tm: 0.202 0.564 0.215  0.09
Tl: 0.000 0.000 0.000  0.00
Fe: 0.500 0.500 0.500  0.01

Results
- crystal system = monoclinic
- formation energy from the elements (eV per atom) = 0.07

***

# 7
## NaZrIn2W (GGA-PBE)

Data for a relaxed structure of NaZrIn2W.

a = 5.433 Å, b = 4.936 Å, c = 5.433 Å
α = 90.00°, β = 90.00°, γ = 90.00°
Sites, in units of the cell vectors:
Na: 0.500 0.500 0.500
Zr: 0.000 0.500 0.000
W: 0.000 0.000 0.000
In: 0.000 0.000 0.500
In: 0.500 0.000 0.000

Results
- crystal system = tetragonal
- formation energy from the elements (eV per atom) = 0.52

***

# 8
## PaTaSi2Mo (GGA-PBE)

Data for a relaxed structure of PaTaSi2Mo.

a = 3.969 Å, b = 3.969 Å, c = 6.384 Å
α = 108.11°, β = 108.11°, γ = 90.00°
Sites, in units of the cell vectors:
Pa: 0.000 0.000 0.000
Ta: 0.250 0.750 0.500
Si: 0.602 0.602 0.205
Si: 0.398 0.398 0.795
Mo: 0.750 0.250 0.500

Results
- crystal system = tetragonal
- energy relative to the elements, uncorrected (eV per atom) = -0.480

***

# 9
## BaScNiN2 (GGA-PBE)

Data for a relaxed structure of BaScNiN2.

a = 4.129 Å, b = 6.722 Å, c = 4.129 Å
α = 90.00°, β = 90.00°, γ = 90.00°
Sites, in units of the cell vectors:
Sc: 0.000 0.000 0.000
Ni: 0.500 0.500 0.500
Ba: 0.000 0.500 0.000
N: 0.000 0.000 0.500
N: 0.500 0.000 0.000

Results
- crystal system = tetragonal
- energy relative to the elements, uncorrected (eV per atom) = 0.950

***

# 10
## Tb3SmSc2Te6 (GGA-PBE)

Data for a relaxed structure of Tb3SmSc2Te6.

a = 4.305 Å, b = 8.666 Å, c = 9.654 Å
α = 102.71°, β = 102.88°, γ = 90.00°
Sites, in units of the cell vectors:
Tb: 0.500 0.500 0.000
Tb: 0.841 0.170 0.683
Tb: 0.159 0.830 0.317
Sm: 0.500 0.000 0.000
Sc: 0.836 0.671 0.672
Sc: 0.164 0.329 0.328
Te: 0.328 0.904 0.656
Te: 0.671 0.575 0.343
Te: 0.672 0.096 0.344
Te: 0.007 0.257 0.014
Te: 0.993 0.743 0.986
Te: 0.329 0.425 0.657

Results
- crystal system = monoclinic
- energy relative to the elements, uncorrected (eV per atom) = -1.245

***

# 11
## ZrFeBr2 (GGA-PBE)

Data for a relaxed structure of ZrFeBr2.

a = 3.345 Å, b = 3.345 Å, c = 8.380 Å
α = 90.00°, β = 90.00°, γ = 90.01°
Each line ends with the local moment (μB).
Sites, in units of the cell vectors:
Br: 0.000 0.000 0.927  -0.01
Br: 0.500 0.500 0.362  0.12
Fe: 0.000 0.000 0.510  2.65
Zr: 0.500 0.500 0.701  -0.15

Results
- crystal system = tetragonal
- energy relative to the elements, uncorrected (eV per atom) = -0.371
- energy above the lowest structure with this stoichiometry (meV per atom) = 75

***

# 12
## ZnAs2BrO (GGA-PBE)

Data for a relaxed structure of ZnAs2BrO.

a = 4.884 Å, b = 4.884 Å, c = 5.047 Å
α = 90.00°, β = 90.00°, γ = 90.00°
Each line ends with the local moment (μB).
Sites, in units of the cell vectors:
O: 0.500 0.500 0.500  1.13
As: 0.000 0.500 0.000  -0.21
As: 0.500 0.000 0.000  -0.21
Zn: 0.000 0.000 0.000  -0.01
Br: 0.000 0.000 0.500  -0.06

Results
- crystal system = tetragonal
- energy relative to the elements, uncorrected (eV per atom) = 0.975
- energy above the lowest structure with this stoichiometry (meV per atom) = 768